(1)
First-principles (meta-GGA SCAN) data for a crystal of TlSbN2O relaxed with PBEsol, as listed in Alexandria via LeMat-Bulk.

Summary:
The value obtained for the uncorrected formation energy is 35.47 kcal/mol of atoms. Its volume is 14.6 Å³ per atom. The calculation puts the total magnetization at 0.0 μB/cell. As for the total energy: -25.35 eV/atom.

Geometry as CIF:
```
data_TlSbN2O
_symmetry_space_group_name_H-M 'P 4/m m m'
_symmetry_Int_Tables_number 123
_symmetry_space_group_name_Hall '-P 4 2'
_cell_length_a 4.199
_cell_length_b 4.199
_cell_length_c 4.143
_cell_angle_alpha 90.00
_cell_angle_beta 90.00
_cell_angle_gamma 90.00
loop_
_atom_site_label
_atom_site_type_symbol
_atom_site_fract_x
_atom_site_fract_y
_atom_site_fract_z
_atom_site_occupancy
Tl1 Tl 0.000 0.000 0.000 1
Sb1 Sb 0.500 0.500 0.500 1
N1 N 0.000 0.500 0.000 1
O1 O 0.000 0.000 0.500 1
```

***

(2)
First-principles (meta-GGA SCAN) data for a crystal of NiGeF2 relaxed with PBEsol, as listed in Alexandria via LeMat-Bulk.

Summary:
The value obtained for the uncorrected formation energy is -12.45 kcal/mol of atoms. Its volume is 11.5 Å³ per atom. The calculation puts the total magnetization at 0.3 μB/cell. As for the total energy: -11.12 eV/atom.

Geometry as CIF:
```
data_NiGeF2
_symmetry_space_group_name_H-M 'F m -3 m'
_symmetry_Int_Tables_number 225
_symmetry_space_group_name_Hall '-F 4 2 3'
_cell_length_a 5.689
_cell_length_b 5.689
_cell_length_c 5.689
_cell_angle_alpha 90.00
_cell_angle_beta 90.00
_cell_angle_gamma 90.00
loop_
_atom_site_label
_atom_site_type_symbol
_atom_site_fract_x
_atom_site_fract_y
_atom_site_fract_z
_atom_site_occupancy
Ni1 Ni 0.000 0.000 0.000 1
Ge1 Ge 0.000 0.000 0.500 1
F1 F 0.250 0.250 0.250 1
```

***

(3)
First-principles (meta-GGA SCAN) data for a crystal of CaTeN2 relaxed with PBEsol, as listed in Alexandria via LeMat-Bulk.

Summary:
The value obtained for the uncorrected formation energy is 2.30 kcal/mol of atoms. Its volume is 18.0 Å³ per atom. The calculation puts the total magnetization at 0.0 μB/cell. As for the total energy: -16.27 eV/atom.

Geometry as CIF:
```
data_CaTeN2
_symmetry_space_group_name_H-M 'I -4 2 d'
_symmetry_Int_Tables_number 122
_symmetry_space_group_name_Hall 'I -4 2bw'
_cell_length_a 5.090
_cell_length_b 5.090
_cell_length_c 11.137
_cell_angle_alpha 90.00
_cell_angle_beta 90.00
_cell_angle_gamma 90.00
loop_
_atom_site_label
_atom_site_type_symbol
_atom_site_fract_x
_atom_site_fract_y
_atom_site_fract_z
_atom_site_occupancy
Ca1 Ca 0.000 0.000 0.000 1
Te1 Te 0.000 0.000 0.500 1
N1 N 0.213 0.250 0.625 1
```

***

(4)
First-principles (meta-GGA SCAN) data for a crystal of AuIN2 relaxed with PBEsol, as listed in Alexandria via LeMat-Bulk.

Summary:
The value obtained for the energy above the most stable polymorph in this dataset is 1064 meV per atom. The value obtained for the uncorrected formation energy is 55.11 kcal/mol of atoms. Its volume is 13.1 Å³ per atom. The calculation puts the total magnetization at 0.0 μB/cell. As for the total energy: -28.73 eV/atom.

Geometry as CIF:
```
data_AuIN2
_symmetry_space_group_name_H-M 'F m -3 m'
_symmetry_Int_Tables_number 225
_symmetry_space_group_name_Hall '-F 4 2 3'
_cell_length_a 5.938
_cell_length_b 5.938
_cell_length_c 5.938
_cell_angle_alpha 90.00
_cell_angle_beta 90.00
_cell_angle_gamma 90.00
loop_
_atom_site_label
_atom_site_type_symbol
_atom_site_fract_x
_atom_site_fract_y
_atom_site_fract_z
_atom_site_occupancy
Au1 Au 0.000 0.000 0.000 1
I1 I 0.000 0.000 0.500 1
N1 N 0.250 0.250 0.250 1
```

***

(5)
First-principles (meta-GGA SCAN) data for a crystal of ZnAg2Mo relaxed with PBEsol, as listed in Alexandria via LeMat-Bulk.

Summary:
Its volume is 15.7 Å³ per atom. The energy of formation from the pure elements is 0.39 eV/atom. The calculation puts the total magnetization at 0.0 μB/cell. As for the total energy: -27.39 eV/atom.

Geometry as CIF:
```
data_ZnAg2Mo
_symmetry_space_group_name_H-M 'C 1 2/m 1'
_symmetry_Int_Tables_number 12
_cell_length_a 5.470
_cell_length_b 9.679
_cell_length_c 2.598
_cell_angle_alpha 90.00
_cell_angle_beta 114.02
_cell_angle_gamma 90.00
loop_
_symmetry_equiv_pos_as_xyz
'x,y,z'
'-x,-y,-z'
'-x,y,-z'
'x,-y,z'
'x+1/2,y+1/2,z'
'-x+1/2,-y+1/2,-z'
'-x+1/2,y+1/2,-z'
'x+1/2,-y+1/2,z'
loop_
_atom_site_label
_atom_site_type_symbol
_atom_site_fract_x
_atom_site_fract_y
_atom_site_fract_z
_atom_site_occupancy
Zn1 Zn 0.000 0.000 0.000 1
Ag1 Ag 0.250 0.250 0.500 1
Mo1 Mo 0.000 0.500 0.000 1
```

***

(6)
First-principles (meta-GGA SCAN) data for a crystal of MnTlPb3 relaxed with PBEsol, as listed in Alexandria via LeMat-Bulk.

Summary:
Its volume is 27.6 Å³ per atom. The energy of formation from the pure elements is 0.14 eV/atom. The calculation puts the total magnetization at 2.9 μB/cell. As for the total energy: -63.45 eV/atom.

Geometry as CIF:
```
data_MnTlPb3
_symmetry_space_group_name_H-M 'P m -3 m'
_symmetry_Int_Tables_number 221
_symmetry_space_group_name_Hall '-P 4 2 3'
_cell_length_a 5.167
_cell_length_b 5.167
_cell_length_c 5.167
_cell_angle_alpha 90.00
_cell_angle_beta 90.00
_cell_angle_gamma 90.00
loop_
_atom_site_label
_atom_site_type_symbol
_atom_site_fract_x
_atom_site_fract_y
_atom_site_fract_z
_atom_site_occupancy
Mn1 Mn 0.000 0.000 0.000 1
Tl1 Tl 0.500 0.500 0.500 1
Pb1 Pb 0.000 0.000 0.500 1
```